1.
The following is a DFT calculation (PBE-GGA) of an optimized crystal structure of CrBiPd2.

As for the volume: 18.0 A^3/atom. The calculation puts the size of the total moment at 3.7 μB per cell. As for the crystal system: tetragonal. As for the uncorrected energy: -5.997 eV per atom. As for the calculated formation energy: -2.37 kJ/mol of atoms.

It has space group P4/mmm (No. 123), with a = 4.313 Å, b = 4.313 Å, c = 3.870 Å, α = 90.00°, β = 90.00° and γ = 90.00°. The asymmetric unit holds Cr at (0.000, 0.000, 0.000), Bi at (0.500, 0.500, 0.000) and Pd at (0.000, 0.500, 0.500).



2.
The following is a DFT calculation (PBE-GGA) of an optimized crystal structure of Mn2SbI8.

The energy relative to the elements, uncorrected is -0.308 eV/atom. As for the volume: 49.4 A^3/atom. The calculation puts the size of the total moment at 18.0 μB per cell. As for the crystal system: monoclinic. As for the uncorrected energy: -3.477 eV per atom.

It has space group C2/m (No. 12), with a = 15.812 Å, b = 9.443 Å, c = 7.282 Å, α = 90.00°, β = 91.03° and γ = 90.00°. The asymmetric unit holds Mn at (0.161, 0.000, 0.417), Sb at (0.000, 0.000, 0.000), I at (0.079, 0.219, 0.255), I at (0.163, 0.000, 0.783) and I at (0.178, 0.500, 0.632).



3.
The following is a DFT calculation (PBE-GGA) of an optimized crystal structure of LaTiVW2.

As for the volume: 21.0 A^3/atom. The calculation puts the size of the total moment at 0.8 μB per cell. As for the crystal system: tetragonal. As for the uncorrected energy: -7.265 eV per atom. As for the calculated formation energy: 222.35 kJ/mol of atoms.

It has space group P4/mmm (No. 123), with a = 4.858 Å, b = 4.858 Å, c = 4.448 Å, α = 90.00°, β = 90.00° and γ = 90.00°. The asymmetric unit holds La at (0.000, 0.000, 0.000), Ti at (0.500, 0.500, 0.500), V at (0.000, 0.000, 0.500) and W at (0.000, 0.500, 0.000).



4.
The following is a DFT calculation (PBE-GGA) of an optimized crystal structure of TlTcNi2.

As for the volume: 14.7 A^3/atom. The calculation puts the size of the total moment at 8.1 μB per cell. As for the crystal system: cubic. As for the uncorrected energy: -5.631 eV per atom. As for the calculated formation energy: 42.73 kJ/mol of atoms.

It has space group Fm-3m (No. 225), with a = 6.171 Å, b = 6.171 Å, c = 6.171 Å, α = 90.00°, β = 90.00° and γ = 90.00°. The asymmetric unit holds Tl at (0.000, 0.000, 0.000), Tc at (0.000, 0.000, 0.500) and Ni at (0.250, 0.250, 0.250).



5.
The following is a DFT calculation (PBE-GGA) of an optimized crystal structure of UAs3Rh5.

As for the volume: 17.6 A^3/atom. The calculation puts the size of the total moment at 8.2 μB per cell. As for the crystal system: orthorhombic. As for the uncorrected energy: -7.307 eV per atom. As for the calculated formation energy: -40.37 kJ/mol of atoms.

It has space group Cmcm (No. 63), with a = 3.766 Å, b = 13.059 Å, c = 12.856 Å, α = 90.00°, β = 90.00° and γ = 90.00°. The asymmetric unit holds U at (0.000, 0.101, 0.250), As at (0.000, 0.134, 0.750), As at (0.000, 0.378, 0.537), Rh at (0.000, 0.000, 0.000), Rh at (0.000, 0.202, 0.574) and Rh at (0.000, 0.458, 0.148).



6.
The following is a DFT calculation (PBE-GGA) of an optimized crystal structure of Pr7YHo12.

As for the volume: 36.3 A^3/atom. The calculation puts the size of the total moment at 0.0 μB per cell. As for the crystal system: cubic. As for the uncorrected energy: -4.108 eV per atom. As for the calculated formation energy: 61.27 kJ/mol of atoms.

It has space group Im-3m (No. 229), with a = 11.328 Å, b = 11.328 Å, c = 11.328 Å, α = 90.00°, β = 90.00° and γ = 90.00°. The asymmetric unit holds Pr at (0.000, 0.000, 0.500), Pr at (0.250, 0.250, 0.250), Y at (0.000, 0.000, 0.000) and Ho at (0.000, 0.247, 0.247).



7.
The following is a DFT calculation (PBE-GGA) of an optimized crystal structure of K2Ac2F7.

The energy relative to the elements, uncorrected is -3.497 eV/atom. As for the volume: 21.3 A^3/atom. The calculation puts the size of the total moment at 0.0 μB per cell. As for the crystal system: cubic. As for the uncorrected energy: -5.634 eV per atom.

It has space group Fd-3m (No. 227, origin choice 2), with a = 12.334 Å, b = 12.334 Å, c = 12.334 Å, α = 90.00°, β = 90.00° and γ = 90.00°. The asymmetric unit holds K at (0.000, 0.000, 0.000), Ac at (0.000, 0.000, 0.500), F at (0.095, 0.375, 0.875) and F at (0.125, 0.125, 0.125).



8.
The following is a DFT calculation (PBE-GGA) of an optimized crystal structure of CsI4.

The energy relative to the elements, uncorrected is -0.659 eV/atom. As for the volume: 52.8 A^3/atom. The calculation puts the size of the total moment at 0.0 μB per cell. As for the crystal system: monoclinic. As for the uncorrected energy: -2.070 eV per atom.

It has space group P2_1/c (No. 14), with a = 10.703 Å, b = 9.166 Å, c = 11.612 Å, α = 90.00°, β = 111.98° and γ = 90.00°. The asymmetric unit holds Cs at (0.230, 0.123, 0.304), I at (0.044, 0.643, 0.987), I at (0.160, 0.532, 0.446), I at (0.370, 0.705, 0.389) and I at (0.441, 0.110, 0.666).



no.,density (g/cm3),density of states at the Fermi level (states/eV/f.u.)
1,10.93,1.98
2,3.81,9.25
3,9.58,7.52
4,11.87,2.75
5,10.27,8.35
6,6.98,28.97
7,4.71,0.87
8,4.03,0.00